Record 1
# GdPaAg2, optimized geometry, DFT PBE-GGA
# N(E_F), states/eV/atom: 1.386
# Excess energy over the best structure of this formula in the dataset, eV/atom: 0.000
# Total moment, μB/f.u.: 8.07
# E_form, eV/atom: 0.040
# Crystal system: tetragonal
# E, eV per formula unit: -29.12
data_GdPaAg2
_cell_length_a 3.225
_cell_length_b 3.225
_cell_length_c 8.914
_cell_angle_alpha 90.00
_cell_angle_beta 90.00
_cell_angle_gamma 90.00
_space_group_name_H-M_alt 'P 4/m m m'
_space_group_IT_number 123
_space_group_name_Hall '-P 4 2'
loop_
_atom_site_label
_atom_site_fract_x
_atom_site_fract_y
_atom_site_fract_z
Gd1 0.000 0.000 0.000
Pa1 0.000 0.000 0.500
Ag1 0.500 0.500 0.250

Record 2
# GdPaAg4, optimized geometry, DFT PBE-GGA
# N(E_F), states/eV/atom: 1.355
# Total moment, μB/f.u.: 8.89
# E_form, eV/atom: 0.089
# Crystal system: cubic
# E, eV per formula unit: -34.45
data_GdPaAg4
_cell_length_a 8.045
_cell_length_b 8.045
_cell_length_c 8.045
_cell_angle_alpha 90.00
_cell_angle_beta 90.00
_cell_angle_gamma 90.00
_space_group_name_H-M_alt 'F -4 3 m'
_space_group_IT_number 216
_space_group_name_Hall 'F -4 2 3'
loop_
_atom_site_label
_atom_site_fract_x
_atom_site_fract_y
_atom_site_fract_z
Gd1 0.000 0.000 0.000
Pa1 0.250 0.250 0.250
Ag1 0.125 0.125 0.625

Record 3
# GdPaAgPd, optimized geometry, DFT PBE-GGA
# N(E_F), states/eV/atom: 1.638
# Total moment, μB/f.u.: 8.39
# E_form, eV/atom: -0.183
# Crystal system: cubic
# E, eV per formula unit: -32.35
data_GdPaAgPd
_cell_length_a 7.180
_cell_length_b 7.180
_cell_length_c 7.180
_cell_angle_alpha 90.00
_cell_angle_beta 90.00
_cell_angle_gamma 90.00
_space_group_name_H-M_alt 'F -4 3 m'
_space_group_IT_number 216
_space_group_name_Hall 'F -4 2 3'
loop_
_atom_site_label
_atom_site_fract_x
_atom_site_fract_y
_atom_site_fract_z
Gd1 0.000 0.000 0.000
Pa1 0.000 0.000 0.500
Ag1 0.250 0.250 0.250
Pd1 0.250 0.250 0.750

Record 4
# GdPaAgPt, optimized geometry, DFT PBE-GGA
# N(E_F), states/eV/atom: 1.560
# Total moment, μB/f.u.: 8.40
# E_form, eV/atom: -0.399
# Crystal system: cubic
# E, eV per formula unit: -34.07
data_GdPaAgPt
_cell_length_a 7.159
_cell_length_b 7.159
_cell_length_c 7.159
_cell_angle_alpha 90.00
_cell_angle_beta 90.00
_cell_angle_gamma 90.00
_space_group_name_H-M_alt 'F -4 3 m'
_space_group_IT_number 216
_space_group_name_Hall 'F -4 2 3'
loop_
_atom_site_label
_atom_site_fract_x
_atom_site_fract_y
_atom_site_fract_z
Gd1 0.000 0.000 0.000
Pa1 0.000 0.000 0.500
Ag1 0.250 0.250 0.250
Pt1 0.250 0.250 0.750

Record 5
# GdAgPb, optimized geometry, DFT PBE-GGA
# N(E_F), states/eV/atom: 0.766
# Total moment, μB/f.u.: 7.05
# E_form, eV/atom: -0.376
# Crystal system: cubic
# E, eV per formula unit: -21.77
data_GdAgPb
_cell_length_a 6.892
_cell_length_b 6.892
_cell_length_c 6.892
_cell_angle_alpha 90.00
_cell_angle_beta 90.00
_cell_angle_gamma 90.00
_space_group_name_H-M_alt 'F -4 3 m'
_space_group_IT_number 216
_space_group_name_Hall 'F -4 2 3'
loop_
_atom_site_label
_atom_site_fract_x
_atom_site_fract_y
_atom_site_fract_z
Gd1 0.000 0.000 0.000
Ag1 0.250 0.250 0.250
Pb1 0.000 0.000 0.500

Record 6
# Gd2AgPb, optimized geometry, DFT PBE-GGA
# N(E_F), states/eV/atom: 0.790
# Total moment, μB/f.u.: 14.86
# E_form, eV/atom: -0.424
# Crystal system: tetragonal
# E, eV per formula unit: -36.42
data_Gd2AgPb
_cell_length_a 5.092
_cell_length_b 5.092
_cell_length_c 4.111
_cell_angle_alpha 90.00
_cell_angle_beta 90.00
_cell_angle_gamma 90.00
_space_group_name_H-M_alt 'P 4/m m m'
_space_group_IT_number 123
_space_group_name_Hall '-P 4 2'
loop_
_atom_site_label
_atom_site_fract_x
_atom_site_fract_y
_atom_site_fract_z
Gd1 0.000 0.500 0.000
Ag1 0.000 0.000 0.500
Pb1 0.500 0.500 0.500

Record 7
# GdAgPb, optimized geometry, DFT PBE-GGA
# N(E_F), states/eV/atom: 0.716
# Total moment, μB/f.u.: 7.37
# E_form, eV/atom: -0.237
# Crystal system: tetragonal
# E, eV per formula unit: -21.35
data_GdAgPb
_cell_length_a 3.608
_cell_length_b 3.608
_cell_length_c 11.852
_cell_angle_alpha 90.00
_cell_angle_beta 90.00
_cell_angle_gamma 90.00
_space_group_name_H-M_alt 'I 4 m m'
_space_group_IT_number 107
_space_group_name_Hall 'I 4 -2'
loop_
_atom_site_label
_atom_site_fract_x
_atom_site_fract_y
_atom_site_fract_z
Gd1 0.000 0.000 0.000
Ag1 0.000 0.000 0.654
Pb1 0.000 0.000 0.307

Record 8
# Gd2AgPb, optimized geometry, DFT PBE-GGA
# N(E_F), states/eV/atom: 1.502
# Total moment, μB/f.u.: 15.08
# E_form, eV/atom: 0.052
# Crystal system: trigonal
# E, eV per formula unit: -34.51
data_Gd2AgPb
_cell_length_a 3.5430
_cell_length_b 3.5430
_cell_length_c 33.2837
_cell_angle_alpha 90.00
_cell_angle_beta 90.00
_cell_angle_gamma 120.00
_space_group_name_H-M_alt 'R -3 m'
_space_group_IT_number 166
_space_group_name_Hall '-R 3 2"'
loop_
_atom_site_label
_atom_site_fract_x
_atom_site_fract_y
_atom_site_fract_z
Gd1 0.0000 0.0000 0.0961
Ag1 0.0000 0.0000 0.5000
Pb1 0.0000 0.0000 0.0000

Record 9
# GdAgPb, optimized geometry, DFT PBE-GGA
# N(E_F), states/eV/atom: 1.142
# Total moment, μB/f.u.: 7.38
# E_form, eV/atom: -0.362
# Crystal system: hexagonal
# E, eV per formula unit: -21.73
data_GdAgPb
_cell_length_a 4.9438
_cell_length_b 4.9438
_cell_length_c 3.5810
_cell_angle_alpha 90.00
_cell_angle_beta 90.00
_cell_angle_gamma 120.00
_space_group_name_H-M_alt 'P -6 m 2'
_space_group_IT_number 187
_space_group_name_Hall 'P -6 2'
loop_
_atom_site_label
_atom_site_fract_x
_atom_site_fract_y
_atom_site_fract_z
Gd1 0.0000 0.0000 0.0000
Ag1 0.6667 0.3333 0.5000
Pb1 0.3333 0.6667 0.5000

Record 10
# PrGdAgPb, optimized geometry, DFT PBE-GGA
# N(E_F), states/eV/atom: 0.912
# Total moment, μB/f.u.: 7.96
# E_form, eV/atom: -0.428
# Crystal system: cubic
# E, eV per formula unit: -27.13
data_PrGdAgPb
_cell_length_a 7.657
_cell_length_b 7.657
_cell_length_c 7.657
_cell_angle_alpha 90.00
_cell_angle_beta 90.00
_cell_angle_gamma 90.00
_space_group_name_H-M_alt 'F -4 3 m'
_space_group_IT_number 216
_space_group_name_Hall 'F -4 2 3'
loop_
_atom_site_label
_atom_site_fract_x
_atom_site_fract_y
_atom_site_fract_z
Pr1 0.000 0.000 0.000
Gd1 0.000 0.000 0.500
Ag1 0.250 0.250 0.750
Pb1 0.250 0.250 0.250

Record 11
# GdAgPtPb, optimized geometry, DFT PBE-GGA
# N(E_F), states/eV/atom: 0.619
# Total moment, μB/f.u.: 7.23
# E_form, eV/atom: -0.514
# Crystal system: cubic
# E, eV per formula unit: -28.74
data_GdAgPtPb
_cell_length_a 7.066
_cell_length_b 7.066
_cell_length_c 7.066
_cell_angle_alpha 90.00
_cell_angle_beta 90.00
_cell_angle_gamma 90.00
_space_group_name_H-M_alt 'F -4 3 m'
_space_group_IT_number 216
_space_group_name_Hall 'F -4 2 3'
loop_
_atom_site_label
_atom_site_fract_x
_atom_site_fract_y
_atom_site_fract_z
Gd1 0.000 0.000 0.000
Ag1 0.250 0.250 0.250
Pt1 0.250 0.250 0.750
Pb1 0.000 0.000 0.500

Record 12
# GdAgRhPb, optimized geometry, DFT PBE-GGA
# N(E_F), states/eV/atom: 0.682
# Total moment, μB/f.u.: 7.12
# E_form, eV/atom: -0.328
# Crystal system: cubic
# E, eV per formula unit: -29.30
data_GdAgRhPb
_cell_length_a 6.977
_cell_length_b 6.977
_cell_length_c 6.977
_cell_angle_alpha 90.00
_cell_angle_beta 90.00
_cell_angle_gamma 90.00
_space_group_name_H-M_alt 'F -4 3 m'
_space_group_IT_number 216
_space_group_name_Hall 'F -4 2 3'
loop_
_atom_site_label
_atom_site_fract_x
_atom_site_fract_y
_atom_site_fract_z
Gd1 0.000 0.000 0.000
Ag1 0.250 0.250 0.250
Rh1 0.250 0.250 0.750
Pb1 0.000 0.000 0.500